The following is a PBE calculation of PrGa2CuPt2 after structural relaxation, from the Alexandria database.

For the spin magnetization, the calculation gives 0.0 μB per formula unit. As for the energy of formation from the pure elements: -0.303 eV/atom. The value obtained for the final energy is -4.804 eV per atom.

It has space group I4/mmm (No. 139), with a = 4.795 Å, b = 4.795 Å, c = 11.262 Å, α = 90.00°, β = 90.00° and γ = 90.00°. The asymmetric unit holds Pr at (0.000, 0.000, 0.000), Ga at (0.000, 0.000, 0.297), Cu at (0.000, 0.000, 0.500) and Pt at (0.000, 0.500, 0.250).



The following is a PBE calculation of AcCdSbRh3 after structural relaxation, from the Alexandria database.

For the spin magnetization, the calculation gives 0.0 μB per formula unit. For the formation energy without anion corrections, the calculation gives -1.67 eV/f.u. The value obtained for the final energy is -5.479 eV per atom.

It has space group Cmcm (No. 63), with a = 6.669 Å, b = 12.469 Å, c = 6.414 Å, α = 90.00°, β = 90.00° and γ = 90.00°. The asymmetric unit holds Ac at (0.000, 0.183, 0.250), Cd at (0.000, 0.436, 0.250), Sb at (0.000, 0.131, 0.750), Rh at (0.000, 0.336, 0.750) and Rh at (0.208, 0.000, 0.000).



The following is a PBE calculation of MgTc2Pt after structural relaxation, from the Alexandria database.

For the spin magnetization, the calculation gives 0.0 μB per formula unit. As for the energy of formation from the pure elements: 0.035 eV/atom. The value obtained for the final energy is -7.057 eV per atom.

It has space group Pmmm (No. 47), with a = 2.765 Å, b = 4.347 Å, c = 5.117 Å, α = 90.00°, β = 90.00° and γ = 90.00°. The asymmetric unit holds Mg at (0.000, 0.000, 0.000), Tc at (0.500, 0.500, 0.232) and Pt at (0.000, 0.000, 0.500).



The following is a PBE calculation of Sr2MgAuO after structural relaxation, from the Alexandria database.

For the spin magnetization, the calculation gives 0.0 μB per formula unit. For the formation energy without anion corrections, the calculation gives -6.26 eV/f.u. The value obtained for the final energy is -3.891 eV per atom.

It has space group P4/mmm (No. 123), with a = 5.249 Å, b = 5.249 Å, c = 4.225 Å, α = 90.00°, β = 90.00° and γ = 90.00°. The asymmetric unit holds Sr at (0.000, 0.500, 0.000), Mg at (0.000, 0.000, 0.500), Au at (0.500, 0.500, 0.500) and O at (0.000, 0.000, 0.000).



The following is a PBE calculation of CsSmMgS3 after structural relaxation, from the Alexandria database.

For the spin magnetization, the calculation gives 0.0 μB per formula unit. For the formation energy without anion corrections, the calculation gives -10.04 eV/f.u. The value obtained for the final energy is -4.931 eV per atom.

It has space group P2_1/m (No. 11), with a = 9.425 Å, b = 4.213 Å, c = 10.149 Å, α = 90.00°, β = 109.66° and γ = 90.00°. The asymmetric unit holds Cs at (0.212, 0.250, 0.233), Sm at (0.334, 0.750, 0.865), Mg at (0.084, 0.250, 0.611), S at (0.129, 0.250, 0.858), S at (0.184, 0.750, 0.548) and S at (0.473, 0.750, 0.149).



The following is a PBE calculation of AlW2Au after structural relaxation, from the Alexandria database.

For the spin magnetization, the calculation gives 0.0 μB per formula unit. As for the energy of formation from the pure elements: 0.174 eV/atom. The value obtained for the final energy is -8.057 eV per atom.

It has space group Cmmm (No. 65), with a = 5.359 Å, b = 8.698 Å, c = 2.763 Å, α = 90.00°, β = 90.00° and γ = 90.00°. The asymmetric unit holds Al at (0.000, 0.000, 0.000), W at (0.250, 0.250, 0.500) and Au at (0.000, 0.500, 0.000).